No. 1
Density functional theory data (PBE-GGA) for a geometry-optimized Mg2Al2CuPd5 structure.

magnetic moment = 0.0 Bohr magnetons per cell
crystal system = tetragonal
space-group type = No. 127
D(E_F) = 0.313 states/eV/atom

CIF file:
```
data_Mg2Al2CuPd5
_chemical_formula_sum 'Mg4 Al4 Cu2 Pd10'
_symmetry_space_group_name_H-M 'P 1'
_symmetry_Int_Tables_number 1
_symmetry_space_group_name_Hall 'P 1'
_cell_length_a 3.489
_cell_length_b 9.604
_cell_length_c 9.604
_cell_angle_alpha 90.00
_cell_angle_beta 90.00
_cell_angle_gamma 90.00
loop_
_atom_site_label
_atom_site_type_symbol
_atom_site_fract_x
_atom_site_fract_y
_atom_site_fract_z
Al1 Al 0.000 0.631 0.869
Al2 Al 0.000 0.869 0.369
Al3 Al 0.000 0.131 0.631
Al4 Al 0.000 0.369 0.131
Pd1 Pd 0.500 0.500 0.000
Pd2 Pd 0.500 0.196 0.077
Pd3 Pd 0.500 0.000 0.500
Pd4 Pd 0.500 0.577 0.696
Pd5 Pd 0.500 0.804 0.923
Pd6 Pd 0.500 0.423 0.304
Pd7 Pd 0.500 0.923 0.196
Pd8 Pd 0.500 0.304 0.577
Pd9 Pd 0.500 0.696 0.423
Pd10 Pd 0.500 0.077 0.804
Cu1 Cu 0.000 0.500 0.500
Cu2 Cu 0.000 0.000 0.000
Mg1 Mg 0.000 0.670 0.170
Mg2 Mg 0.000 0.330 0.830
Mg3 Mg 0.000 0.830 0.670
Mg4 Mg 0.000 0.170 0.330
```

No. 2
Density functional theory data (PBE-GGA) for a geometry-optimized Pm2MgAl3Cu4 structure.

magnetic moment = 0.0 Bohr magnetons per cell
crystal system = tetragonal
space-group type = No. 115
D(E_F) = 0.748 states/eV/atom

CIF file:
```
data_Pm2MgAl3Cu4
_chemical_formula_sum 'Pm2 Mg1 Al3 Cu4'
_symmetry_space_group_name_H-M 'P 1'
_symmetry_Int_Tables_number 1
_symmetry_space_group_name_Hall 'P 1'
_cell_length_a 4.271
_cell_length_b 4.271
_cell_length_c 10.270
_cell_angle_alpha 90.00
_cell_angle_beta 90.00
_cell_angle_gamma 90.00
loop_
_atom_site_label
_atom_site_type_symbol
_atom_site_fract_x
_atom_site_fract_y
_atom_site_fract_z
Al1 Al 0.000 0.000 0.500
Al2 Al 0.500 0.000 0.878
Al3 Al 0.000 0.500 0.122
Cu1 Cu 0.500 0.500 0.000
Cu2 Cu 0.000 0.000 0.000
Cu3 Cu 0.000 0.500 0.359
Cu4 Cu 0.500 0.000 0.641
Mg1 Mg 0.500 0.500 0.500
Pm1 Pm 0.000 0.500 0.766
Pm2 Pm 0.500 0.000 0.234
```

No. 3
Density functional theory data (PBE-GGA) for a geometry-optimized PmMgAl2Cu4 structure.

magnetic moment = 0.0 Bohr magnetons per cell
crystal system = trigonal
space-group type = No. 166
D(E_F) = 0.633 states/eV/atom

CIF file:
```
data_PmMgAl2Cu4
_chemical_formula_sum 'Pm1 Mg1 Al2 Cu4'
_symmetry_space_group_name_H-M 'P 1'
_symmetry_Int_Tables_number 1
_symmetry_space_group_name_Hall 'P 1'
_cell_length_a 4.241
_cell_length_b 4.241
_cell_length_c 8.970
_cell_angle_alpha 76.32
_cell_angle_beta 76.32
_cell_angle_gamma 60.00
loop_
_atom_site_label
_atom_site_type_symbol
_atom_site_fract_x
_atom_site_fract_y
_atom_site_fract_z
Al1 Al 0.758 0.758 0.725
Al2 Al 0.242 0.242 0.275
Cu1 Cu 0.880 0.880 0.360
Cu2 Cu 0.597 0.597 0.208
Cu3 Cu 0.120 0.120 0.640
Cu4 Cu 0.403 0.403 0.792
Pm1 Pm 0.000 0.000 0.000
Mg1 Mg 0.500 0.500 0.500
```

No. 4
Density functional theory data (PBE-GGA) for a geometry-optimized PmMgAlCu structure.

magnetic moment = 0.0 Bohr magnetons per cell
crystal system = cubic
space-group type = No. 216
D(E_F) = 0.387 states/eV/atom

CIF file:
```
data_PmMgAlCu
_chemical_formula_sum 'Pm1 Mg1 Al1 Cu1'
_symmetry_space_group_name_H-M 'P 1'
_symmetry_Int_Tables_number 1
_symmetry_space_group_name_Hall 'P 1'
_cell_length_a 4.885
_cell_length_b 4.885
_cell_length_c 4.885
_cell_angle_alpha 60.00
_cell_angle_beta 60.00
_cell_angle_gamma 60.00
loop_
_atom_site_label
_atom_site_type_symbol
_atom_site_fract_x
_atom_site_fract_y
_atom_site_fract_z
Pm1 Pm 0.000 0.000 0.000
Al1 Al 0.750 0.750 0.750
Cu1 Cu 0.250 0.250 0.250
Mg1 Mg 0.500 0.500 0.500
```

No. 5
Density functional theory data (PBE-GGA) for a geometry-optimized PmMgAlCu2 structure.

magnetic moment = 0.0 Bohr magnetons per cell
crystal system = tetragonal
space-group type = No. 119
D(E_F) = 0.743 states/eV/atom

CIF file:
```
data_PmMgAlCu2
_chemical_formula_sum 'Pm1 Mg1 Al1 Cu2'
_symmetry_space_group_name_H-M 'P 1'
_symmetry_Int_Tables_number 1
_symmetry_space_group_name_Hall 'P 1'
_cell_length_a 4.120
_cell_length_b 4.120
_cell_length_c 6.361
_cell_angle_alpha 108.89
_cell_angle_beta 108.89
_cell_angle_gamma 90.00
loop_
_atom_site_label
_atom_site_type_symbol
_atom_site_fract_x
_atom_site_fract_y
_atom_site_fract_z
Mg1 Mg 0.250 0.750 0.500
Cu1 Cu 0.392 0.392 0.783
Cu2 Cu 0.608 0.608 0.217
Pm1 Pm 0.000 0.000 0.000
Al1 Al 0.750 0.250 0.500
```

No. 6
Density functional theory data (PBE-GGA) for a geometry-optimized PrMgAlCu2 structure.

magnetic moment = 0.0 Bohr magnetons per cell
crystal system = tetragonal
space-group type = No. 119
D(E_F) = 0.756 states/eV/atom

CIF file:
```
data_PrMgAlCu2
_chemical_formula_sum 'Pr1 Mg1 Al1 Cu2'
_symmetry_space_group_name_H-M 'P 1'
_symmetry_Int_Tables_number 1
_symmetry_space_group_name_Hall 'P 1'
_cell_length_a 4.154
_cell_length_b 4.154
_cell_length_c 6.399
_cell_angle_alpha 108.94
_cell_angle_beta 108.94
_cell_angle_gamma 90.00
loop_
_atom_site_label
_atom_site_type_symbol
_atom_site_fract_x
_atom_site_fract_y
_atom_site_fract_z
Cu1 Cu 0.391 0.391 0.782
Cu2 Cu 0.609 0.609 0.218
Al1 Al 0.750 0.250 0.500
Pr1 Pr 0.000 0.000 0.000
Mg1 Mg 0.250 0.750 0.500
```

No. 7
Density functional theory data (PBE-GGA) for a geometry-optimized Pr2MgAl3Cu4 structure.

magnetic moment = 0.0 Bohr magnetons per cell
crystal system = tetragonal
space-group type = No. 115
D(E_F) = 0.780 states/eV/atom

CIF file:
```
data_Pr2MgAl3Cu4
_chemical_formula_sum 'Pr2 Mg1 Al3 Cu4'
_symmetry_space_group_name_H-M 'P 1'
_symmetry_Int_Tables_number 1
_symmetry_space_group_name_Hall 'P 1'
_cell_length_a 4.338
_cell_length_b 4.338
_cell_length_c 10.159
_cell_angle_alpha 90.00
_cell_angle_beta 90.00
_cell_angle_gamma 90.00
loop_
_atom_site_label
_atom_site_type_symbol
_atom_site_fract_x
_atom_site_fract_y
_atom_site_fract_z
Cu1 Cu 0.500 0.000 0.637
Cu2 Cu 0.000 0.500 0.363
Cu3 Cu 0.000 0.000 0.000
Cu4 Cu 0.500 0.500 0.000
Al1 Al 0.000 0.000 0.500
Al2 Al 0.500 0.000 0.877
Al3 Al 0.000 0.500 0.123
Pr1 Pr 0.500 0.000 0.234
Pr2 Pr 0.000 0.500 0.766
Mg1 Mg 0.500 0.500 0.500
```

No. 8
Density functional theory data (PBE-GGA) for a geometry-optimized PrMgAlCu structure.

magnetic moment = 0.0 Bohr magnetons per cell
crystal system = cubic
space-group type = No. 216
D(E_F) = 0.321 states/eV/atom

CIF file:
```
data_PrMgAlCu
_chemical_formula_sum 'Pr1 Mg1 Al1 Cu1'
_symmetry_space_group_name_H-M 'P 1'
_symmetry_Int_Tables_number 1
_symmetry_space_group_name_Hall 'P 1'
_cell_length_a 4.932
_cell_length_b 4.932
_cell_length_c 4.932
_cell_angle_alpha 60.00
_cell_angle_beta 60.00
_cell_angle_gamma 60.00
loop_
_atom_site_label
_atom_site_type_symbol
_atom_site_fract_x
_atom_site_fract_y
_atom_site_fract_z
Al1 Al 0.750 0.750 0.750
Cu1 Cu 0.250 0.250 0.250
Mg1 Mg 0.000 0.000 0.000
Pr1 Pr 0.500 0.500 0.500
```

No. 9
Density functional theory data (PBE-GGA) for a geometry-optimized Mg2AlCu2Pt5 structure.

magnetic moment = 0.0 Bohr magnetons per cell
crystal system = tetragonal
space-group type = No. 127
D(E_F) = 0.381 states/eV/atom

CIF file:
```
data_Mg2AlCu2Pt5
_chemical_formula_sum 'Mg4 Al2 Cu4 Pt10'
_symmetry_space_group_name_H-M 'P 1'
_symmetry_Int_Tables_number 1
_symmetry_space_group_name_Hall 'P 1'
_cell_length_a 3.822
_cell_length_b 9.087
_cell_length_c 9.087
_cell_angle_alpha 90.00
_cell_angle_beta 90.00
_cell_angle_gamma 90.00
loop_
_atom_site_label
_atom_site_type_symbol
_atom_site_fract_x
_atom_site_fract_y
_atom_site_fract_z
Cu1 Cu 0.000 0.127 0.627
Cu2 Cu 0.000 0.373 0.127
Cu3 Cu 0.000 0.627 0.873
Cu4 Cu 0.000 0.873 0.373
Al1 Al 0.000 0.000 0.000
Al2 Al 0.000 0.500 0.500
Pt1 Pt 0.500 0.803 0.922
Pt2 Pt 0.500 0.078 0.803
Pt3 Pt 0.500 0.500 0.000
Pt4 Pt 0.500 0.422 0.303
Pt5 Pt 0.500 0.578 0.697
Pt6 Pt 0.500 0.922 0.197
Pt7 Pt 0.500 0.303 0.578
Pt8 Pt 0.500 0.000 0.500
Pt9 Pt 0.500 0.697 0.422
Pt10 Pt 0.500 0.197 0.078
Mg1 Mg 0.000 0.670 0.170
Mg2 Mg 0.000 0.830 0.670
Mg3 Mg 0.000 0.330 0.830
Mg4 Mg 0.000 0.170 0.330
```

No. 10
Density functional theory data (PBE-GGA) for a geometry-optimized PuMgAlCu structure.

magnetic moment = 5.4 Bohr magnetons per cell
crystal system = cubic
space-group type = No. 216
D(E_F) = 2.199 states/eV/atom

CIF file:
```
data_PuMgAlCu
_chemical_formula_sum 'Pu1 Mg1 Al1 Cu1'
_symmetry_space_group_name_H-M 'P 1'
_symmetry_Int_Tables_number 1
_symmetry_space_group_name_Hall 'P 1'
_cell_length_a 4.813
_cell_length_b 4.813
_cell_length_c 4.813
_cell_angle_alpha 60.00
_cell_angle_beta 60.00
_cell_angle_gamma 60.00
loop_
_atom_site_label
_atom_site_type_symbol
_atom_site_fract_x
_atom_site_fract_y
_atom_site_fract_z
Mg1 Mg 0.000 0.000 0.000
Cu1 Cu 0.250 0.250 0.250
Pu1 Pu 0.500 0.500 0.500
Al1 Al 0.750 0.750 0.750
```

Number 1: DFT formation energy -0.568 eV/atom. Number 2: DFT formation energy -0.326 eV/atom. Number 3: DFT formation energy -0.242 eV/atom. Number 4: DFT formation energy -0.234 eV/atom. Number 5: DFT formation energy -0.254 eV/atom. Number 6: DFT formation energy -0.246 eV/atom. Number 7: DFT formation energy -0.318 eV/atom. Number 8: DFT formation energy -0.216 eV/atom. Number 9: DFT formation energy -0.561 eV/atom. Number 10: DFT formation energy -0.038 eV/atom.